No. 1
First-principles (GGA-PBE) data for crystalline KLuSO at its relaxed geometry, as listed in the Open Quantum Materials Database.

The density is 4.519 Mg/m³. As for the relative energy among the computed polymorphs: 24.3 kJ per mole of atoms.

The structure belongs to space group Pca2_1 (No. 29); the cell edges are 7.949, 9.024 and 5.371 Å and the angles 90.00°, 90.00° and 90.00°. The inequivalent atoms are K at (0.117, 0.095, 0.000), Lu at (0.064, 0.645, 0.002), S at (0.100, 0.613, 0.502) and O at (0.046, 0.163, 0.502).


No. 2
First-principles (GGA-PBE) data for crystalline Tl2AgSb at its relaxed geometry, as listed in the Open Quantum Materials Database.

The density is 9.880 Mg/m³. For the total energy, the calculation gives -45.16 eV/cell.

The structure belongs to space group F-43m (No. 216); the cell edges are 7.543, 7.543 and 7.543 Å and the angles 90.00°, 90.00° and 90.00°. The inequivalent atoms are Tl at (0.000, 0.000, 0.000), Tl at (0.250, 0.250, 0.250), Ag at (0.250, 0.250, 0.750) and Sb at (0.000, 0.000, 0.500).